Here is an optimized crystal structure of PuUPt2 from Alexandria. Energies are from PBE-GGA.

Computed properties:
- DFT formation energy (kJ/mol of formula units) = -234.4
- electronic total energy (Ry per atom) = -0.7374
- crystal system = tetragonal
- DOS at the Fermi energy (states/eV/cell) = 13.9

Unit cell a=3.530 b=4.922 c=4.922 alpha=90.00 beta=90.00 gamma=90.00
Element x y z (fractional)
Pu: 0.500 0.500 0.500
Pt: 0.000 0.500 0.000
Pt: 0.000 0.000 0.500
U: 0.500 0.000 0.000